DFT (PBE) results for a geometry-optimized AcGa2BO6 structure.

a b c (Å): 7.096 7.096 6.300
angles (deg): 113.45 113.45 79.81
Fractional coordinates of all 20 atoms:
1 Ac 0.178 0.822 0.750
2 Ac 0.822 0.178 0.250
3 Ga 0.225 0.365 0.876
4 Ga 0.365 0.225 0.376
5 Ga 0.635 0.775 0.624
6 Ga 0.775 0.635 0.124
7 B 0.188 0.812 0.250
8 B 0.812 0.188 0.750
9 O 0.004 0.186 0.703
10 O 0.186 0.004 0.203
11 O 0.186 0.641 0.022
12 O 0.238 0.400 0.594
13 O 0.359 0.814 0.478
14 O 0.400 0.238 0.094
15 O 0.600 0.762 0.906
16 O 0.641 0.186 0.522
17 O 0.762 0.600 0.406
18 O 0.814 0.359 0.978
19 O 0.814 0.996 0.797
20 O 0.996 0.814 0.297

Values from the calculation:
V, Å³ per cell: 266.9
E_form (uncorrected), eV/atom: -2.43